A relaxed Sm4GeSb2Se crystal. Source: the Alexandria database, functional PBE.

Calculated values
E_tot ... -5.68 eV/atom
E_form (uncorrected) ... -1276 meV/atom
Space group ... P2/m, No. 10

Unit cell a=4.3333 b=7.5527 c=7.5167 alpha=70.75 beta=90.00 gamma=90.00
Last column: nearest neighbours and their distance in Å.
Sites, in units of the cell vectors:
Sb  0.5000  0.0000  0.5000  6 Sm 3.10-3.11
Sm  0.0000  0.2620  0.2528  1 Ge 2.98, 2 Se 3.05, 3 Sb 3.10-3.16
Ge  0.0000  0.5000  0.5000  6 Sm 2.98-3.00
Sm  0.5000  0.2645  0.7418  2 Ge 3.00, 1 Se 3.03, 3 Sb 3.11-3.15
Sm  0.0000  0.7380  0.7472  1 Ge 2.98, 2 Se 3.05, 3 Sb 3.10-3.16
Sb  0.0000  0.0000  0.0000  6 Sm 3.15-3.16
Sm  0.5000  0.7355  0.2582  2 Ge 3.00, 1 Se 3.03, 3 Sb 3.11-3.15
Se  0.5000  0.5000  0.0000  6 Sm 3.03-3.05